Entry 1:
The following is a meta-GGA SCAN calculation of a PBEsol-optimized structure of YFe2Cu, from Alexandria via LeMat-Bulk.

Results
formation energy: 0.24 eV/atom
symmetry: I4/mmm
total magnetization: 4.782 μB/f.u.
density of states at the Fermi level: 0.619 states/eV per atom

Unit cell a=4.917 b=4.917 c=4.917 alpha=134.56 beta=134.56 gamma=66.21
Atoms (fractional coordinates):
Y: 0.000 0.000 0.000
Fe: 0.250 0.750 0.500
Fe: 0.750 0.250 0.500
Cu: 0.500 0.500 0.000



Entry 2:
The following is a meta-GGA SCAN calculation of a PBEsol-optimized structure of ZnFe2Cu, from Alexandria via LeMat-Bulk.

Results
formation energy: 0.01 eV/atom
symmetry: Pmmm
total magnetization: 5.246 μB/f.u.
density of states at the Fermi level: 0.674 states/eV per atom

Unit cell a=2.497 b=3.725 c=4.975 alpha=90.00 beta=90.00 gamma=90.00
Atoms (fractional coordinates):
Zn: 0.000 0.000 0.000
Fe: 0.500 0.500 0.255
Fe: 0.500 0.500 0.745
Cu: 0.000 0.000 0.500



Entry 3:
The following is a meta-GGA SCAN calculation of a PBEsol-optimized structure of ZnFe2Cu, from Alexandria via LeMat-Bulk.

Results
formation energy: -0.01 eV/atom
symmetry: Cmm2
total magnetization: 5.261 μB/f.u.
density of states at the Fermi level: 0.478 states/eV per atom

Unit cell a=2.462 b=2.462 c=8.001 alpha=90.00 beta=90.00 gamma=107.12
Atoms (fractional coordinates):
Zn: 0.000 0.000 0.000
Fe: 0.000 0.000 0.495
Fe: 0.500 0.500 0.256
Cu: 0.500 0.500 0.743



Entry 4:
The following is a meta-GGA SCAN calculation of a PBEsol-optimized structure of ZnFe2Cu, from Alexandria via LeMat-Bulk.

Results
formation energy: 0.10 eV/atom
symmetry: P4mm
total magnetization: 0.310 μB/f.u.
density of states at the Fermi level: 0.570 states/eV per atom

Unit cell a=2.511 b=2.511 c=7.110 alpha=90.00 beta=90.00 gamma=90.00
Atoms (fractional coordinates):
Zn: 0.000 0.000 0.000
Fe: 0.000 0.000 0.519
Fe: 0.500 0.500 0.740
Cu: 0.500 0.500 0.264



Entry 5:
The following is a meta-GGA SCAN calculation of a PBEsol-optimized structure of ZnFe2Cu, from Alexandria via LeMat-Bulk.

Results
formation energy: 0.02 eV/atom
symmetry: F-43m
total magnetization: 4.970 μB/f.u.
density of states at the Fermi level: 0.476 states/eV per atom

Unit cell a=4.027 b=4.027 c=4.027 alpha=60.00 beta=60.00 gamma=60.00
Atoms (fractional coordinates):
Zn: 0.000 0.000 0.000
Fe: 0.250 0.250 0.250
Fe: 0.500 0.500 0.500
Cu: 0.750 0.750 0.750



Entry 6:
The following is a meta-GGA SCAN calculation of a PBEsol-optimized structure of ZnFeCu, from Alexandria via LeMat-Bulk.

Results
formation energy: -0.02 eV/atom
symmetry: I4mm
total magnetization: 2.618 μB/f.u.
density of states at the Fermi level: 0.475 states/eV per atom

Unit cell a=5.727 b=5.727 c=5.727 alpha=154.25 beta=154.25 gamma=36.74
Atoms (fractional coordinates):
Zn: 0.000 0.000 0.000
Fe: 0.668 0.668 0.000
Cu: 0.330 0.330 0.000



Entry 7:
The following is a meta-GGA SCAN calculation of a PBEsol-optimized structure of ZrFeCu2, from Alexandria via LeMat-Bulk.

Results
formation energy: 0.03 eV/atom
symmetry: Pmmm
total magnetization: 2.317 μB/f.u.
density of states at the Fermi level: 0.764 states/eV per atom

Unit cell a=2.693 b=3.583 c=5.714 alpha=90.00 beta=90.00 gamma=90.00
Atoms (fractional coordinates):
Zr: 0.000 0.000 0.000
Fe: 0.000 0.000 0.500
Cu: 0.500 0.500 0.289
Cu: 0.500 0.500 0.711



Entry 8:
The following is a meta-GGA SCAN calculation of a PBEsol-optimized structure of Zr2FeCu, from Alexandria via LeMat-Bulk.

Results
formation energy: -0.13 eV/atom
symmetry: Pm
total magnetization: 0.000 μB/f.u.
density of states at the Fermi level: 0.622 states/eV per atom

Unit cell a=3.184 b=4.193 c=4.966 alpha=90.00 beta=101.75 gamma=90.00
Atoms (fractional coordinates):
Zr: 0.000 0.000 0.000
Zr: 0.203 0.500 0.559
Fe: 0.655 0.000 0.449
Cu: 0.545 0.500 0.113



Entry 9:
The following is a meta-GGA SCAN calculation of a PBEsol-optimized structure of Zr2FeCu, from Alexandria via LeMat-Bulk.

Results
formation energy: 0.14 eV/atom
symmetry: F-43m
total magnetization: 0.970 μB/f.u.
density of states at the Fermi level: 0.826 states/eV per atom

Unit cell a=4.439 b=4.439 c=4.439 alpha=60.00 beta=60.00 gamma=60.00
Atoms (fractional coordinates):
Zr: 0.000 0.000 0.000
Zr: 0.250 0.250 0.250
Fe: 0.500 0.500 0.500
Cu: 0.750 0.750 0.750



Entry 10:
The following is a meta-GGA SCAN calculation of a PBEsol-optimized structure of ZrFe2Cu, from Alexandria via LeMat-Bulk.

Results
formation energy: 0.00 eV/atom
symmetry: Imm2
total magnetization: 3.828 μB/f.u.
density of states at the Fermi level: 0.495 states/eV per atom

Unit cell a=4.674 b=4.674 c=4.674 alpha=134.89 beta=131.36 gamma=68.49
Atoms (fractional coordinates):
Zr: 0.000 0.000 0.000
Fe: 0.253 0.753 0.500
Fe: 0.491 0.491 0.000
Cu: 0.743 0.243 0.500



Entry 11:
The following is a meta-GGA SCAN calculation of a PBEsol-optimized structure of Zr2FeCu, from Alexandria via LeMat-Bulk.

Results
formation energy: -0.18 eV/atom
symmetry: P4/mmm
total magnetization: 0.327 μB/f.u.
density of states at the Fermi level: 0.882 states/eV per atom

Unit cell a=3.147 b=3.147 c=6.480 alpha=90.00 beta=90.00 gamma=90.00
Atoms (fractional coordinates):
Zr: 0.000 0.000 0.240
Zr: 0.000 0.000 0.760
Fe: 0.500 0.500 0.000
Cu: 0.500 0.500 0.500



Entry 12:
The following is a meta-GGA SCAN calculation of a PBEsol-optimized structure of ZrFeCu2, from Alexandria via LeMat-Bulk.

Results
formation energy: 0.10 eV/atom
symmetry: Pm
total magnetization: 2.039 μB/f.u.
density of states at the Fermi level: 0.773 states/eV per atom

Unit cell a=2.657 b=4.128 c=5.046 alpha=90.00 beta=98.14 gamma=90.00
Atoms (fractional coordinates):
Zr: 0.000 0.000 0.000
Fe: 0.238 0.500 0.689
Cu: 0.586 0.500 0.248
Cu: 0.597 0.000 0.501



Entry 13:
The following is a meta-GGA SCAN calculation of a PBEsol-optimized structure of Zr2FeCu, from Alexandria via LeMat-Bulk.

Results
formation energy: 0.00 eV/atom
symmetry: Imm2
total magnetization: 0.849 μB/f.u.
density of states at the Fermi level: 0.721 states/eV per atom

Unit cell a=5.434 b=5.434 c=5.434 alpha=146.16 beta=133.25 gamma=58.95
Atoms (fractional coordinates):
Zr: 0.000 0.000 0.000
Zr: 0.720 0.220 0.500
Fe: 0.228 0.728 0.500
Cu: 0.436 0.436 0.000



Entry 14:
The following is a meta-GGA SCAN calculation of a PBEsol-optimized structure of GaCu3, from Alexandria via LeMat-Bulk.

Results
formation energy: -0.12 eV/atom
symmetry: P6_3/mmc
total magnetization: 0.000 μB/f.u.
density of states at the Fermi level: 0.309 states/eV per atom

Unit cell a=5.145 b=5.145 c=4.174 alpha=90.00 beta=90.00 gamma=120.00
Atoms (fractional coordinates):
Ga: 0.333 0.667 0.250
Ga: 0.667 0.333 0.750
Cu: 0.165 0.331 0.750
Cu: 0.165 0.835 0.750
Cu: 0.331 0.165 0.250
Cu: 0.669 0.835 0.750
Cu: 0.835 0.165 0.250
Cu: 0.835 0.669 0.250



Entry 15:
The following is a meta-GGA SCAN calculation of a PBEsol-optimized structure of Ga2Cu, from Alexandria via LeMat-Bulk.

Results
formation energy: -0.09 eV/atom
symmetry: P4/mmm
total magnetization: 0.001 μB/f.u.
density of states at the Fermi level: 0.247 states/eV per atom

Unit cell a=2.785 b=2.785 c=5.793 alpha=90.00 beta=90.00 gamma=90.00
Atoms (fractional coordinates):
Ga: 0.000 0.000 0.215
Ga: 0.000 0.000 0.785
Cu: 0.500 0.500 0.500



Entry 16:
The following is a meta-GGA SCAN calculation of a PBEsol-optimized structure of GaCu3, from Alexandria via LeMat-Bulk.

Results
formation energy: -0.11 eV/atom
symmetry: I4/mmm
total magnetization: 0.000 μB/f.u.
density of states at the Fermi level: 0.278 states/eV per atom

Unit cell a=4.459 b=4.459 c=4.459 alpha=132.10 beta=132.10 gamma=70.08
Atoms (fractional coordinates):
Ga: 0.000 0.000 0.000
Cu: 0.250 0.750 0.500
Cu: 0.500 0.500 0.000
Cu: 0.750 0.250 0.500